[1]
TaNbInTe2 | PBE-GGA | optimized geometry

Summary:
ΔE_f (raw) ... 41.34 kcal/mol of atoms

```
data_TaNbInTe2
_chemical_formula_sum 'Ta1 Nb1 In1 Te2'
_space_group_name_H-M_alt 'P 4/m m m'
_space_group_IT_number 123
_space_group_name_Hall '-P 4 2'
_cell_length_a 5.492
_cell_length_b 5.492
_cell_length_c 5.215
_cell_angle_alpha 90.00
_cell_angle_beta 90.00
_cell_angle_gamma 90.00
loop_
_atom_site_label
_atom_site_type_symbol
_atom_site_fract_x
_atom_site_fract_y
_atom_site_fract_z
_atom_site_occupancy
Ta1 Ta 0.000 0.000 0.000 1
Nb1 Nb 0.500 0.500 0.000 1
In1 In 0.000 0.000 0.500 1
Te1 Te 0.000 0.500 0.500 1
```

[2]
ErPu2Te4 | PBE-GGA | optimized geometry

Summary:
ΔE_f (raw) ... -25.34 kcal/mol of atoms
Polymorph energy (0 for the lowest one) ... 20 meV/atom

```
data_ErPu2Te4
_chemical_formula_sum 'Er4 Pu8 Te16'
_space_group_name_H-M_alt 'C m c m'
_space_group_IT_number 63
_space_group_name_Hall '-C 2c 2'
_cell_length_a 4.255
_cell_length_b 14.443
_cell_length_c 15.145
_cell_angle_alpha 90.00
_cell_angle_beta 90.00
_cell_angle_gamma 90.00
loop_
_atom_site_label
_atom_site_type_symbol
_atom_site_fract_x
_atom_site_fract_y
_atom_site_fract_z
_atom_site_occupancy
Er1 Er 0.000 0.122 0.250 1
Pu1 Pu 0.000 0.365 0.069 1
Te1 Te 0.000 0.000 0.000 1
Te2 Te 0.000 0.282 0.626 1
Te3 Te 0.000 0.469 0.250 1
```

[3]
PmCd2OsO6 | PBE-GGA | optimized geometry

Summary:
ΔE_f (raw) ... -36.18 kcal/mol of atoms

```
data_PmCd2OsO6
_chemical_formula_sum 'Pm3 Cd6 Os3 O18'
_space_group_name_H-M_alt 'R 3'
_space_group_IT_number 146
_space_group_name_Hall 'R 3'
_cell_length_a 5.7004
_cell_length_b 5.7004
_cell_length_c 14.8620
_cell_angle_alpha 90.00
_cell_angle_beta 90.00
_cell_angle_gamma 120.00
loop_
_atom_site_label
_atom_site_type_symbol
_atom_site_fract_x
_atom_site_fract_y
_atom_site_fract_z
_atom_site_occupancy
Pm1 Pm 0.0000 0.0000 0.0000 1
Cd1 Cd 0.0000 0.0000 0.2718 1
Cd2 Cd 0.0000 0.0000 0.7775 1
Os1 Os 0.0000 0.0000 0.4930 1
O1 O 0.0204 0.6254 0.2308 1
O2 O 0.0697 0.3809 0.0762 1
```

[4]
BeRh5 | PBE-GGA | optimized geometry

Summary:
Calculated formation energy ... -0.051 eV per atom
Polymorph energy (0 for the lowest one) ... 127 meV/atom

```
data_BeRh5
_chemical_formula_sum 'Be2 Rh10'
_space_group_name_H-M_alt 'C m m m'
_space_group_IT_number 65
_space_group_name_Hall '-C 2 2'
_cell_length_a 3.807
_cell_length_b 11.357
_cell_length_c 3.739
_cell_angle_alpha 90.00
_cell_angle_beta 90.00
_cell_angle_gamma 90.00
loop_
_atom_site_label
_atom_site_type_symbol
_atom_site_fract_x
_atom_site_fract_y
_atom_site_fract_z
_atom_site_occupancy
Be1 Be 0.000 0.000 0.000 1
Rh1 Rh 0.000 0.161 0.500 1
Rh2 Rh 0.000 0.334 0.000 1
Rh3 Rh 0.000 0.500 0.500 1
```

[5]
PmSnSb2 | PBE-GGA | optimized geometry

Summary:
ΔE_f (raw) ... -11.79 kcal/mol of atoms
Polymorph energy (0 for the lowest one) ... 20 meV/atom

```
data_PmSnSb2
_chemical_formula_sum 'Pm1 Sn1 Sb2'
_space_group_name_H-M_alt 'P 4/m m m'
_space_group_IT_number 123
_space_group_name_Hall '-P 4 2'
_cell_length_a 4.208
_cell_length_b 4.208
_cell_length_c 6.375
_cell_angle_alpha 90.00
_cell_angle_beta 90.00
_cell_angle_gamma 90.00
loop_
_atom_site_label
_atom_site_type_symbol
_atom_site_fract_x
_atom_site_fract_y
_atom_site_fract_z
_atom_site_occupancy
Pm1 Pm 0.000 0.000 0.000 1
Sn1 Sn 0.000 0.000 0.500 1
Sb1 Sb 0.500 0.500 0.245 1
```

[6]
Ho2ScCd4 | PBE-GGA | optimized geometry

Summary:
Calculated formation energy ... -0.114 eV per atom
Polymorph energy (0 for the lowest one) ... 0 meV/atom

```
data_Ho2ScCd4
_chemical_formula_sum 'Ho6 Sc3 Cd12'
_space_group_name_H-M_alt 'R -3 m'
_space_group_IT_number 166
_space_group_name_Hall '-R 3 2"'
_cell_length_a 5.0797
_cell_length_b 5.0797
_cell_length_c 25.1493
_cell_angle_alpha 90.00
_cell_angle_beta 90.00
_cell_angle_gamma 120.00
loop_
_atom_site_label
_atom_site_type_symbol
_atom_site_fract_x
_atom_site_fract_y
_atom_site_fract_z
_atom_site_occupancy
Ho1 Ho 0.0000 0.0000 0.2499 1
Sc1 Sc 0.0000 0.0000 0.0000 1
Cd1 Cd 0.0000 0.0000 0.1259 1
Cd2 Cd 0.0000 0.0000 0.3756 1
```

[7]
CsHgCl3 | PBE-GGA | optimized geometry

Summary:
ΔE_f (raw) ... -26.37 kcal/mol of atoms
Polymorph energy (0 for the lowest one) ... 53 meV/atom

```
data_CsHgCl3
_chemical_formula_sum 'Cs8 Hg8 Cl24'
_space_group_name_H-M_alt 'C m c e'
_space_group_IT_number 64
_space_group_name_Hall '-C 2ac 2'
_cell_length_a 12.358
_cell_length_b 14.726
_cell_length_c 8.024
_cell_angle_alpha 90.00
_cell_angle_beta 90.00
_cell_angle_gamma 90.00
loop_
_atom_site_label
_atom_site_type_symbol
_atom_site_fract_x
_atom_site_fract_y
_atom_site_fract_z
_atom_site_occupancy
Cs1 Cs 0.000 0.127 0.221 1
Hg1 Hg 0.250 0.125 0.750 1
Cl1 Cl 0.000 0.124 0.772 1
Cl2 Cl 0.240 0.125 0.458 1
```

[8]
Th3Al5N12 | PBE-GGA | optimized geometry

Summary:
ΔE_f (raw) ... -12.54 kcal/mol of atoms

```
data_Th3Al5N12
_chemical_formula_sum 'Th24 Al40 N96'
_space_group_name_H-M_alt 'I a -3 d'
_space_group_IT_number 230
_space_group_name_Hall '-I 4bd 2c 3'
_cell_length_a 12.645
_cell_length_b 12.645
_cell_length_c 12.645
_cell_angle_alpha 90.00
_cell_angle_beta 90.00
_cell_angle_gamma 90.00
loop_
_atom_site_label
_atom_site_type_symbol
_atom_site_fract_x
_atom_site_fract_y
_atom_site_fract_z
_atom_site_occupancy
Th1 Th 0.000 0.250 0.125 1
Al1 Al 0.000 0.000 0.000 1
Al2 Al 0.000 0.250 0.375 1
N1 N 0.029 0.052 0.650 1
```

[9]
Sm3Dy2Er | PBE-GGA | optimized geometry

Summary:
Calculated formation energy ... 0.018 eV per atom
Polymorph energy (0 for the lowest one) ... 24 meV/atom

```
data_Sm3Dy2Er
_chemical_formula_sum 'Sm12 Dy8 Er4'
_space_group_name_H-M_alt 'C 1 2/c 1'
_space_group_IT_number 15
_cell_length_a 17.543
_cell_length_b 7.159
_cell_length_c 6.188
_cell_angle_alpha 90.00
_cell_angle_beta 90.16
_cell_angle_gamma 90.00
loop_
_space_group_symop_operation_xyz
'x,y,z'
'-x,-y,-z'
'-x,y,-z+1/2'
'x,-y,z+1/2'
'x+1/2,y+1/2,z'
'-x+1/2,-y+1/2,-z'
'-x+1/2,y+1/2,-z+1/2'
'x+1/2,-y+1/2,z+1/2'
loop_
_atom_site_label
_atom_site_type_symbol
_atom_site_fract_x
_atom_site_fract_y
_atom_site_fract_z
_atom_site_occupancy
Sm1 Sm 0.000 0.125 0.250 1
Sm2 Sm 0.166 0.375 0.417 1
Dy1 Dy 0.166 0.125 0.917 1
Er1 Er 0.000 0.376 0.750 1
```

[10]
BeRePb2 | PBE-GGA | optimized geometry

Summary:
Calculated formation energy ... 1.156 eV per atom

```
data_BeRePb2
_chemical_formula_sum 'Be2 Re2 Pb4'
_space_group_name_H-M_alt 'I -4 m 2'
_space_group_IT_number 119
_space_group_name_Hall 'I -4 -2'
_cell_length_a 4.171
_cell_length_b 4.171
_cell_length_c 9.057
_cell_angle_alpha 90.00
_cell_angle_beta 90.00
_cell_angle_gamma 90.00
loop_
_atom_site_label
_atom_site_type_symbol
_atom_site_fract_x
_atom_site_fract_y
_atom_site_fract_z
_atom_site_occupancy
Be1 Be 0.000 0.000 0.000 1
Re1 Re 0.000 0.500 0.250 1
Pb1 Pb 0.000 0.000 0.500 1
Pb2 Pb 0.000 0.500 0.750 1
```

[11]
PrMgAg2Au4 | PBE-GGA | optimized geometry

Summary:
Calculated formation energy ... -0.424 eV per atom

```
data_PrMgAg2Au4
_chemical_formula_sum 'Pr3 Mg3 Ag6 Au12'
_space_group_name_H-M_alt 'R -3 m'
_space_group_IT_number 166
_space_group_name_Hall '-R 3 2"'
_cell_length_a 4.8352
_cell_length_b 4.8352
_cell_length_c 24.0353
_cell_angle_alpha 90.00
_cell_angle_beta 90.00
_cell_angle_gamma 120.00
loop_
_atom_site_label
_atom_site_type_symbol
_atom_site_fract_x
_atom_site_fract_y
_atom_site_fract_z
_atom_site_occupancy
Pr1 Pr 0.0000 0.0000 0.0000 1
Mg1 Mg 0.0000 0.0000 0.5000 1
Ag1 Ag 0.0000 0.0000 0.2504 1
Au1 Au 0.0000 0.0000 0.1309 1
Au2 Au 0.0000 0.0000 0.3867 1
```

[12]
Be3Co | PBE-GGA | optimized geometry

Summary:
Calculated formation energy ... -0.259 eV per atom

```
data_Be3Co
_chemical_formula_sum 'Be12 Co4'
_space_group_name_H-M_alt 'I 4/m m m'
_space_group_IT_number 139
_space_group_name_Hall '-I 4 2'
_cell_length_a 3.214
_cell_length_b 3.214
_cell_length_c 12.899
_cell_angle_alpha 90.00
_cell_angle_beta 90.00
_cell_angle_gamma 90.00
loop_
_atom_site_label
_atom_site_type_symbol
_atom_site_fract_x
_atom_site_fract_y
_atom_site_fract_z
_atom_site_occupancy
Be1 Be 0.000 0.000 0.129 1
Be2 Be 0.000 0.500 0.000 1
Be3 Be 0.000 0.500 0.250 1
Co1 Co 0.000 0.000 0.380 1
```

[13]
SmEr2O | PBE-GGA | optimized geometry

Summary:
ΔE_f (raw) ... -18.48 kcal/mol of atoms
Polymorph energy (0 for the lowest one) ... 405 meV/atom

```
data_SmEr2O
_chemical_formula_sum 'Sm1 Er2 O1'
_space_group_name_H-M_alt 'P 4/m m m'
_space_group_IT_number 123
_space_group_name_Hall '-P 4 2'
_cell_length_a 3.182
_cell_length_b 3.182
_cell_length_c 8.689
_cell_angle_alpha 90.00
_cell_angle_beta 90.00
_cell_angle_gamma 90.00
loop_
_atom_site_label
_atom_site_type_symbol
_atom_site_fract_x
_atom_site_fract_y
_atom_site_fract_z
_atom_site_occupancy
Sm1 Sm 0.000 0.000 0.000 1
Er1 Er 0.500 0.500 0.323 1
O1 O 0.000 0.000 0.500 1
```

[14]
Nd3DyTl4S8 | PBE-GGA | optimized geometry

Summary:
ΔE_f (raw) ... -33.67 kcal/mol of atoms

```
data_Nd3DyTl4S8
_chemical_formula_sum 'Nd9 Dy3 Tl12 S24'
_space_group_name_H-M_alt 'R -3 m'
_space_group_IT_number 166
_space_group_name_Hall '-R 3 2"'
_cell_length_a 8.2914
_cell_length_b 8.2914
_cell_length_c 22.5096
_cell_angle_alpha 90.00
_cell_angle_beta 90.00
_cell_angle_gamma 120.00
loop_
_atom_site_label
_atom_site_type_symbol
_atom_site_fract_x
_atom_site_fract_y
_atom_site_fract_z
_atom_site_occupancy
Nd1 Nd 0.0000 0.5000 0.0000 1
Dy1 Dy 0.0000 0.0000 0.0000 1
Tl1 Tl 0.0000 0.0000 0.5000 1
Tl2 Tl 0.0000 0.5000 0.5000 1
S1 S 0.0000 0.0000 0.2649 1
S2 S 0.0079 0.5040 0.7339 1
```

[15]
YSn3Se | PBE-GGA | optimized geometry

Summary:
ΔE_f (raw) ... 15.08 kcal/mol of atoms
Polymorph energy (0 for the lowest one) ... 469 meV/atom

```
data_YSn3Se
_chemical_formula_sum 'Y1 Sn3 Se1'
_space_group_name_H-M_alt 'P m -3 m'
_space_group_IT_number 221
_space_group_name_Hall '-P 4 2 3'
_cell_length_a 5.842
_cell_length_b 5.842
_cell_length_c 5.842
_cell_angle_alpha 90.00
_cell_angle_beta 90.00
_cell_angle_gamma 90.00
loop_
_atom_site_label
_atom_site_type_symbol
_atom_site_fract_x
_atom_site_fract_y
_atom_site_fract_z
_atom_site_occupancy
Y1 Y 0.000 0.000 0.000 1
Sn1 Sn 0.000 0.000 0.500 1
Se1 Se 0.500 0.500 0.500 1
```

[16]
ReSi2W | PBE-GGA | optimized geometry

Summary:
ΔE_f (raw) ... 16.44 kcal/mol of atoms
Polymorph energy (0 for the lowest one) ... 1015 meV/atom

```
data_ReSi2W
_chemical_formula_sum 'Re4 Si8 W4'
_space_group_name_H-M_alt 'I -4 2 d'
_space_group_IT_number 122
_space_group_name_Hall 'I -4 2bw'
_cell_length_a 6.547
_cell_length_b 6.547
_cell_length_c 5.876
_cell_angle_alpha 90.00
_cell_angle_beta 90.00
_cell_angle_gamma 90.00
loop_
_atom_site_label
_atom_site_type_symbol
_atom_site_fract_x
_atom_site_fract_y
_atom_site_fract_z
_atom_site_occupancy
Re1 Re 0.000 0.000 0.000 1
Si1 Si 0.238 0.250 0.125 1
W1 W 0.000 0.000 0.500 1
```

[17]
Pm2YCo2 | PBE-GGA | optimized geometry

Summary:
Calculated formation energy ... -0.061 eV per atom
Polymorph energy (0 for the lowest one) ... 0 meV/atom

```
data_Pm2YCo2
_chemical_formula_sum 'Pm4 Y2 Co4'
_space_group_name_H-M_alt 'P 4/m b m'
_space_group_IT_number 127
_space_group_name_Hall '-P 4 2ab'
_cell_length_a 7.310
_cell_length_b 7.310
_cell_length_c 4.294
_cell_angle_alpha 90.00
_cell_angle_beta 90.00
_cell_angle_gamma 90.00
loop_
_atom_site_label
_atom_site_type_symbol
_atom_site_fract_x
_atom_site_fract_y
_atom_site_fract_z
_atom_site_occupancy
Pm1 Pm 0.174 0.326 0.000 1
Y1 Y 0.000 0.000 0.500 1
Co1 Co 0.108 0.608 0.500 1
```

[18]
Mg2IrOs | PBE-GGA | optimized geometry

Summary:
Calculated formation energy ... 0.080 eV per atom
Polymorph energy (0 for the lowest one) ... 159 meV/atom

```
data_Mg2IrOs
_chemical_formula_sum 'Mg4 Ir2 Os2'
_space_group_name_H-M_alt 'I m m m'
_space_group_IT_number 71
_space_group_name_Hall '-I 2 2'
_cell_length_a 2.974
_cell_length_b 4.699
_cell_length_c 8.860
_cell_angle_alpha 90.00
_cell_angle_beta 90.00
_cell_angle_gamma 90.00
loop_
_atom_site_label
_atom_site_type_symbol
_atom_site_fract_x
_atom_site_fract_y
_atom_site_fract_z
_atom_site_occupancy
Mg1 Mg 0.000 0.000 0.247 1
Ir1 Ir 0.000 0.500 0.500 1
Os1 Os 0.000 0.500 0.000 1
```

[19]
NdHo2Te5 | PBE-GGA | optimized geometry

Summary:
ΔE_f (raw) ... -27.72 kcal/mol of atoms

```
data_NdHo2Te5
_chemical_formula_sum 'Nd4 Ho8 Te20'
_space_group_name_H-M_alt 'I 4/m c m'
_space_group_IT_number 140
_space_group_name_Hall '-I 4 2c'
_cell_length_a 8.152
_cell_length_b 8.152
_cell_length_c 14.309
_cell_angle_alpha 90.00
_cell_angle_beta 90.00
_cell_angle_gamma 90.00
loop_
_atom_site_label
_atom_site_type_symbol
_atom_site_fract_x
_atom_site_fract_y
_atom_site_fract_z
_atom_site_occupancy
Nd1 Nd 0.000 0.000 0.250 1
Ho1 Ho 0.151 0.349 0.000 1
Te1 Te 0.000 0.000 0.000 1
Te2 Te 0.158 0.342 0.353 1
```

Number 1: M_tot 0.73 μB per cell, final energy -21.98 eV per cell. Number 2: M_tot 43.97 μB per cell, final energy -213.94 eV per cell. Number 3: M_tot 9.04 μB per cell, final energy -189.75 eV per cell. Number 4: M_tot 0.00 μB per cell, final energy -81.58 eV per cell. Number 5: M_tot 0.00 μB per cell, final energy -19.04 eV per cell. Number 6: M_tot 0.00 μB per cell, final energy -59.84 eV per cell. Number 7: M_tot 0.00 μB per cell, final energy -99.31 eV per cell. Number 8: M_tot 48.94 μB per cell, final energy -1214.04 eV per cell. Number 9: M_tot 0.00 μB per cell, final energy -111.27 eV per cell. Number 10: M_tot 0.01 μB per cell, final energy -37.93 eV per cell. Number 11: M_tot 0.00 μB per cell, final energy -85.72 eV per cell. Number 12: M_tot 0.00 μB per cell, final energy -77.28 eV per cell. Number 13: M_tot 0.00 μB per cell, final energy -22.01 eV per cell. Number 14: M_tot 0.00 μB per cell, final energy -254.25 eV per cell. Number 15: M_tot 0.00 μB per cell, final energy -18.69 eV per cell. Number 16: M_tot 0.00 μB per cell, final energy -133.59 eV per cell. Number 17: M_tot 0.00 μB per cell, final energy -60.96 eV per cell. Number 18: M_tot 0.51 μB per cell, final energy -45.92 eV per cell. Number 19: M_tot 0.00 μB per cell, final energy -156.99 eV per cell.